Entry 1:
This record from Alexandria via LeMat-Bulk describes a geometry-optimized ErPu2PaP4 structure. The functional is GGA-PBE.

As for the density: 9.40 Mg/m³. The density of states at the Fermi level is 23.229 states/eV/cell. The calculation puts the formation enthalpy at 0 K at -1.31 eV per atom. As for the calculated total energy: -74.9 eV per cell.

The space group is P2/m (No. 10) and the conventional cell measures 6.882, 3.997 and 6.895 Å, with angles of 90.00, 109.78 and 90.00 degrees. Symmetry generates all atoms from Er at (0.000, 0.000, 0.000), Pu at (0.500, 0.000, 0.500), Pu at (0.500, 0.500, 0.000), Pa at (0.000, 0.500, 0.500), P at (0.246, 0.000, 0.749) and P at (0.248, 0.500, 0.253).

=====

Entry 2:
This record from Alexandria via LeMat-Bulk describes a geometry-optimized K3VFe structure. The functional is GGA-PBE.

As for the density: 1.51 Mg/m³. The density of states at the Fermi level is 19.951 states/eV/cell. The calculation puts the formation enthalpy at 0 K at 1.50 eV per atom. As for the calculated total energy: -13.4 eV per cell.

The space group is Pm-3m (No. 221) and the conventional cell measures 6.275, 6.275 and 6.275 Å, with angles of 90.00, 90.00 and 90.00 degrees. Symmetry generates all atoms from K at (0.000, 0.000, 0.500), V at (0.500, 0.500, 0.500) and Fe at (0.000, 0.000, 0.000).